# MnCu3F | Alexandria | PBE+U | optimized geometry
data_MnCu3F
_cell_length_a 4.182
_cell_length_b 4.182
_cell_length_c 4.182
_cell_angle_alpha 90.00
_cell_angle_beta 90.00
_cell_angle_gamma 90.00
_space_group_name_H-M_alt 'P 1'
_space_group_IT_number 1
_space_group_name_Hall 'P 1'
loop_
_atom_site_label
_atom_site_type_symbol
_atom_site_fract_x
_atom_site_fract_y
_atom_site_fract_z
Mn1 Mn 0.000 0.000 0.000
Cu1 Cu 0.000 0.500 0.500
Cu2 Cu 0.500 0.000 0.500
Cu3 Cu 0.500 0.500 0.000
F1 F 0.500 0.500 0.500
# energy above the most stable polymorph in this dataset	0	meV per atom
# SG	No. 221